! meta-GGA SCAN Ti4ZnS8, PBEsol geometry; values from VASP
&SYSTEM
  ibrav = 0, nat = 13, ntyp = 3
/
ATOMIC_SPECIES
Ti 47.87 Ti.upf
Zn 65.41 Zn.upf
S 32.06 S.upf
ATOMIC_POSITIONS angstrom
Ti 1.674 2.899 0.000
Ti 3.347 0.000 0.000
Ti 5.021 2.899 0.000
Ti 0.000 0.000 0.000
Zn 6.694 3.865 3.046
S 8.363 2.902 4.630
S 8.363 4.829 1.463
S 5.026 4.829 1.463
S 6.694 1.938 1.463
S 10.042 5.798 4.662
S 3.347 1.933 1.430
S 6.694 5.792 4.630
S 5.026 2.902 4.630
CELL_PARAMETERS angstrom
6.694 0.000 0.000
3.347 5.798 0.000
3.347 1.933 6.092
! final energy	-172.54	eV/cell
! DOS at the Fermi energy	0.451	states/eV per atom
! magnetization	0.00	μB/f.u.

---

! meta-GGA SCAN Ca2TcSb, PBEsol geometry; values from VASP
&SYSTEM
  ibrav = 0, nat = 4, ntyp = 3
/
ATOMIC_SPECIES
Sb 121.76 Sb.upf
Ca 40.08 Ca.upf
Tc 98.00 Tc.upf
ATOMIC_POSITIONS angstrom
Sb -5.702 -1.912 -1.501
Ca -2.717 -0.780 -0.767
Ca -8.687 -3.045 -2.235
Tc 0.000 0.000 0.000
CELL_PARAMETERS angstrom
-2.654 2.029 0.060
-1.500 0.874 -2.855
-7.250 -6.727 -0.206
! final energy	-90.62	eV/cell
! DOS at the Fermi energy	0.502	states/eV per atom
! magnetization	1.13	μB/f.u.

---

! meta-GGA SCAN Sc2SiBr, PBEsol geometry; values from VASP
&SYSTEM
  ibrav = 0, nat = 4, ntyp = 3
/
ATOMIC_SPECIES
Sc 44.96 Sc.upf
Si 28.09 Si.upf
Br 79.90 Br.upf
ATOMIC_POSITIONS angstrom
Sc -3.892 2.865 3.912
Sc 1.361 4.373 5.498
Si 0.000 0.000 0.000
Br -1.266 3.619 4.705
CELL_PARAMETERS angstrom
-2.591 1.967 0.039
-2.461 -0.593 2.043
2.521 5.864 7.328
! final energy	-58.36	eV/cell
! DOS at the Fermi energy	0.667	states/eV per atom
! magnetization	0.00	μB/f.u.

---

! meta-GGA SCAN ZrPd3, PBEsol geometry; values from VASP
&SYSTEM
  ibrav = 0, nat = 4, ntyp = 2
/
ATOMIC_SPECIES
Zr 91.22 Zr.upf
Pd 106.42 Pd.upf
ATOMIC_POSITIONS angstrom
Zr 0.000 0.000 0.000
Pd 0.214 1.509 2.352
Pd -2.292 0.581 1.505
Pd -0.388 -1.225 2.491
CELL_PARAMETERS angstrom
-2.894 -2.153 1.644
2.117 -0.297 3.338
-1.690 3.315 1.367
! final energy	-132.49	eV/cell
! DOS at the Fermi energy	0.187	states/eV per atom
! energy of formation	-19.98	kcal/mol of atoms
! magnetization	0.00	μB/f.u.

---

! meta-GGA SCAN ZnNiIr2, PBEsol geometry; values from VASP
&SYSTEM
  ibrav = 0, nat = 4, ntyp = 3
/
ATOMIC_SPECIES
Ni 58.69 Ni.upf
Zn 65.41 Zn.upf
Ir 192.22 Ir.upf
ATOMIC_POSITIONS angstrom
Ni -2.541 -4.269 1.520
Zn -1.293 -2.201 0.851
Ir -2.606 -2.777 -2.655
Ir -3.801 -6.372 2.237
CELL_PARAMETERS angstrom
-2.381 -0.640 -1.052
-0.222 -2.126 -1.617
-2.489 -5.801 5.750
! final energy	-172.10	eV/cell
! DOS at the Fermi energy	0.695	states/eV per atom
! energy of formation	-1.25	kcal/mol of atoms
! magnetization	0.30	μB/f.u.

---

! meta-GGA SCAN AsHPdBr2, PBEsol geometry; values from VASP
&SYSTEM
  ibrav = 0, nat = 5, ntyp = 4
/
ATOMIC_SPECIES
H 1.01 H.upf
As 74.92 As.upf
Br 79.90 Br.upf
Pd 106.42 Pd.upf
ATOMIC_POSITIONS angstrom
H 2.312 2.612 2.612
As 2.312 0.000 0.000
Br 0.000 0.000 2.612
Br 0.000 2.612 0.000
Pd 0.000 0.000 0.000
CELL_PARAMETERS angstrom
4.624 0.000 0.000
0.000 5.223 0.000
0.000 0.000 5.223
! final energy	-92.43	eV/cell
! DOS at the Fermi energy	0.328	states/eV per atom
! magnetization	0.87	μB/f.u.

---

! meta-GGA SCAN Li2TeMo, PBEsol geometry; values from VASP
&SYSTEM
  ibrav = 0, nat = 4, ntyp = 3
/
ATOMIC_SPECIES
Mo 95.94 Mo.upf
Te 127.60 Te.upf
Li 6.94 Li.upf
ATOMIC_POSITIONS angstrom
Mo -0.933 -2.359 -0.127
Te 1.318 -3.311 1.027
Li 3.430 -1.450 1.758
Li 1.071 -0.453 0.549
CELL_PARAMETERS angstrom
-1.662 -1.383 2.102
-0.203 -3.335 -2.355
4.501 -1.903 2.307
! final energy	-75.95	eV/cell
! DOS at the Fermi energy	0.641	states/eV per atom
! magnetization	0.00	μB/f.u.

---

! meta-GGA SCAN LiY2Cd, PBEsol geometry; values from VASP
&SYSTEM
  ibrav = 0, nat = 4, ntyp = 3
/
ATOMIC_SPECIES
Y 88.91 Y.upf
Cd 112.41 Cd.upf
Li 6.94 Li.upf
ATOMIC_POSITIONS angstrom
Y 0.000 0.000 5.537
Y 0.000 0.000 1.844
Cd 1.836 1.836 0.000
Li 1.836 1.836 3.690
CELL_PARAMETERS angstrom
3.672 0.000 0.000
0.000 3.672 0.000
0.000 0.000 7.381
! final energy	-89.26	eV/cell
! DOS at the Fermi energy	0.970	states/eV per atom
! energy of formation	-4.45	kcal/mol of atoms
! magnetization	0.15	μB/f.u.

---

Q: What is the formula in the first record?
A: Ti4ZnS8

---

Q: Which of these has the lowest DOS at the Fermi energy?
A: ZrPd3